This record from Alexandria describes crystalline Ac4PSe2S at its relaxed geometry. The functional is PBE.

Properties
Volume in Å³/f.u.: 244.9
Electronic total energy in eV/cell: -47.76
Energy relative to the elements, uncorrected in meV/atom: -1853
DOS at the Fermi energy in states/eV/cell: 3.6

Lattice parameters (Å, degrees): 7.617 4.399 7.737 90.00 109.11 90.00
Space group P2/m (No. 10)
One atom of each set of equivalent atoms:
Ac: 0.242 0.000 0.232
Ac: 0.253 0.500 0.767
P: 0.000 0.500 0.000
Se: 0.000 0.000 0.500
Se: 0.500 0.500 0.500
S: 0.500 0.000 0.000